The following is a PBE calculation of a relaxed Ba2TlCr crystal, from the Alexandria database.

a = 13.334 Å, b = 4.212 Å, c = 5.862 Å
α = 90.00°, β = 116.01°, γ = 90.00°
Space group Cm (No. 8)
One atom of each set of equivalent atoms:
Ba 0.000 0.000 0.000 x2
Ba 0.199 0.000 0.699 x2
Tl 0.432 0.000 0.432 x2
Cr 0.271 0.500 0.270 x2

Summary:
Its energy relative to the lowest polymorph listed for this composition is 11 kJ/mol of formula units. The calculation puts the formation energy from the elements at 0.210 eV per atom. The total magnetization comes out at 8.66 μB per cell. The density of states at the Fermi level comes out at 7.67 states/eV per cell.

---

The following is a PBE calculation of a relaxed BaTl2Cr crystal, from the Alexandria database.

a = 4.003 Å, b = 4.376 Å, c = 7.307 Å
α = 90.00°, β = 90.00°, γ = 90.00°
Space group Pmm2 (No. 25)
One atom of each set of equivalent atoms:
Ba 0.000 0.000 0.000 x1
Tl 0.500 0.000 0.584 x1
Tl 0.500 0.500 0.265 x1
Cr 0.000 0.500 0.564 x1

Summary:
The calculation puts the formation energy from the elements at 0.229 eV per atom. The total magnetization comes out at 4.19 μB per cell. The density of states at the Fermi level comes out at 2.14 states/eV per cell.

---

The following is a PBE calculation of a relaxed Ba4TlCr crystal, from the Alexandria database.

a = 10.340 Å, b = 10.340 Å, c = 10.340 Å
α = 90.00°, β = 90.00°, γ = 90.00°
Space group F-43m (No. 216)
One atom of each set of equivalent atoms:
Ba 0.125 0.125 0.125 x16
Tl 0.000 0.000 0.500 x4
Cr 0.250 0.250 0.750 x4

Summary:
The calculation puts the formation energy from the elements at 0.660 eV per atom. The total magnetization comes out at 15.34 μB per cell. The density of states at the Fermi level comes out at 31.08 states/eV per cell.

---

The following is a PBE calculation of a relaxed Ba2TlCr crystal, from the Alexandria database.

a = 4.027 Å, b = 4.027 Å, c = 9.656 Å
α = 90.00°, β = 90.00°, γ = 90.00°
Space group P4mm (No. 99)
One atom of each set of equivalent atoms:
Ba 0.000 0.000 0.000 x1
Ba 0.500 0.500 0.396 x1
Tl 0.500 0.500 0.761 x1
Cr 0.000 0.000 0.638 x1

Summary:
Its energy relative to the lowest polymorph listed for this composition is 29 kJ/mol of formula units. The calculation puts the formation energy from the elements at 0.257 eV per atom. The total magnetization comes out at 4.43 μB per cell. The density of states at the Fermi level comes out at 2.52 states/eV per cell.

---

Question: Look up the formation energy from the elements of the second one.
Answer: 0.229 eV per atom

---

Please write out number 3 again, unchanged.
The following is a PBE calculation of a relaxed Ba4TlCr crystal, from the Alexandria database.

a = 10.340 Å, b = 10.340 Å, c = 10.340 Å
α = 90.00°, β = 90.00°, γ = 90.00°
Space group F-43m (No. 216)
One atom of each set of equivalent atoms:
Ba 0.125 0.125 0.125 x16
Tl 0.000 0.000 0.500 x4
Cr 0.250 0.250 0.750 x4

Summary:
The calculation puts the formation energy from the elements at 0.660 eV per atom. The total magnetization comes out at 15.34 μB per cell. The density of states at the Fermi level comes out at 31.08 states/eV per cell.

---

Question: Look up the formation energy from the elements of the first one.
Answer: 0.210 eV per atom